# PBE Na3PbC, optimized geometry
data_Na3PbC
_chemical_formula_sum 'Na3 Pb1 C1'
_cell_length_a 4.973
_cell_length_b 4.973
_cell_length_c 4.973
_cell_angle_alpha 90.00
_cell_angle_beta 90.00
_cell_angle_gamma 90.00
_space_group_name_H-M_alt 'P m -3 m'
_space_group_IT_number 221
_space_group_name_Hall '-P 4 2 3'
loop_
_atom_site_label
_atom_site_fract_x
_atom_site_fract_y
_atom_site_fract_z
Na1 0.000 0.000 0.500
Pb1 0.500 0.500 0.500
C1 0.000 0.000 0.000
# Excess energy over the best structure of this formula in the dataset, meV/atom: 0
# Calculated formation energy, meV per atom: 846
# Crystal system: cubic
# Electronic total energy, eV/cell: -12.661

=====

# PBE Ir3Os4Ru2, optimized geometry
data_Ir3Os4Ru2
_chemical_formula_sum 'Ir6 Os8 Ru4'
_cell_length_a 4.766
_cell_length_b 7.016
_cell_length_c 8.473
_cell_angle_alpha 71.46
_cell_angle_beta 73.78
_cell_angle_gamma 89.96
_space_group_name_H-M_alt 'P -1'
_space_group_IT_number 2
loop_
_space_group_symop_operation_xyz
'x,y,z'
'-x,-y,-z'
loop_
_atom_site_label
_atom_site_fract_x
_atom_site_fract_y
_atom_site_fract_z
Ir1 0.056 0.472 0.222
Ir2 0.278 0.862 0.111
Ir3 0.389 0.806 0.555
Os1 0.056 0.306 0.554
Os2 0.167 0.251 0.000
Os3 0.276 0.029 0.777
Os4 0.500 0.416 0.667
Ru1 0.166 0.084 0.333
Ru2 0.389 0.639 0.889
# Calculated formation energy, meV per atom: -14
# Crystal system: triclinic
# Electronic total energy, eV/cell: -180.364

=====

# PBE InAgGe2Se6, optimized geometry
data_InAgGe2Se6
_chemical_formula_sum 'In4 Ag4 Ge8 Se24'
_cell_length_a 13.914
_cell_length_b 12.798
_cell_length_c 7.047
_cell_angle_alpha 90.00
_cell_angle_beta 114.52
_cell_angle_gamma 90.00
_space_group_name_H-M_alt 'C 1 2/c 1'
_space_group_IT_number 15
loop_
_space_group_symop_operation_xyz
'x,y,z'
'-x,-y,-z'
'-x,y,-z+1/2'
'x,-y,z+1/2'
'x+1/2,y+1/2,z'
'-x+1/2,-y+1/2,-z'
'-x+1/2,y+1/2,-z+1/2'
'x+1/2,-y+1/2,z+1/2'
loop_
_atom_site_label
_atom_site_fract_x
_atom_site_fract_y
_atom_site_fract_z
In1 0.000 0.191 0.250
Ag1 0.000 0.215 0.750
Ge1 0.209 0.423 0.721
Se1 0.103 0.070 0.086
Se2 0.129 0.441 0.970
Se3 0.149 0.244 0.619
# Formation energy (no corrections), eV/atom: -0.239
# Crystal system: monoclinic
# Electronic total energy, eV/cell: -152.484

=====

# PBE RbZn2HBr, optimized geometry
data_RbZn2HBr
_chemical_formula_sum 'Rb1 Zn2 H1 Br1'
_cell_length_a 4.484
_cell_length_b 4.484
_cell_length_c 6.313
_cell_angle_alpha 90.00
_cell_angle_beta 90.00
_cell_angle_gamma 90.00
_space_group_name_H-M_alt 'P 4/m m m'
_space_group_IT_number 123
_space_group_name_Hall '-P 4 2'
loop_
_atom_site_label
_atom_site_fract_x
_atom_site_fract_y
_atom_site_fract_z
Rb1 0.000 0.000 0.000
Zn1 0.000 0.500 0.500
H1 0.000 0.000 0.500
Br1 0.500 0.500 0.000
# Crystal system: tetragonal
# Electronic total energy, eV/cell: -9.161

=====

# PBE RbIn6Pd, optimized geometry
data_RbIn6Pd
_chemical_formula_sum 'Rb1 In6 Pd1'
_cell_length_a 4.889
_cell_length_b 4.889
_cell_length_c 9.403
_cell_angle_alpha 90.00
_cell_angle_beta 90.00
_cell_angle_gamma 90.00
_space_group_name_H-M_alt 'P 4/m m m'
_space_group_IT_number 123
_space_group_name_Hall '-P 4 2'
loop_
_atom_site_label
_atom_site_fract_x
_atom_site_fract_y
_atom_site_fract_z
Rb1 0.000 0.000 0.000
In1 0.000 0.500 0.340
In2 0.500 0.500 0.154
Pd1 0.000 0.000 0.500
# Calculated formation energy, meV per atom: -201
# Crystal system: tetragonal
# Electronic total energy, eV/cell: -24.196

=====

# PBE MgGaI2N, optimized geometry
data_MgGaI2N
_chemical_formula_sum 'Mg1 Ga1 I2 N1'
_cell_length_a 5.889
_cell_length_b 5.889
_cell_length_c 3.653
_cell_angle_alpha 90.00
_cell_angle_beta 90.00
_cell_angle_gamma 90.00
_space_group_name_H-M_alt 'P 4/m m m'
_space_group_IT_number 123
_space_group_name_Hall '-P 4 2'
loop_
_atom_site_label
_atom_site_fract_x
_atom_site_fract_y
_atom_site_fract_z
Mg1 0.000 0.000 0.000
Ga1 0.500 0.500 0.500
I1 0.000 0.500 0.500
N1 0.500 0.500 0.000
# Formation energy (no corrections), eV/atom: 0.278
# Excess energy over the best structure of this formula in the dataset, meV/atom: 159
# Crystal system: tetragonal
# Electronic total energy, eV/cell: -14.655

=====

# PBE Cs2ZrFe, optimized geometry
data_Cs2ZrFe
_chemical_formula_sum 'Cs8 Zr4 Fe4'
_cell_length_a 8.875
_cell_length_b 8.875
_cell_length_c 8.875
_cell_angle_alpha 90.00
_cell_angle_beta 90.00
_cell_angle_gamma 90.00
_space_group_name_H-M_alt 'F m -3 m'
_space_group_IT_number 225
_space_group_name_Hall '-F 4 2 3'
loop_
_atom_site_label
_atom_site_fract_x
_atom_site_fract_y
_atom_site_fract_z
Cs1 0.250 0.250 0.250
Zr1 0.000 0.000 0.000
Fe1 0.000 0.000 0.500
# Calculated formation energy, meV per atom: 1822
# Crystal system: cubic
# Electronic total energy, eV/cell: -45.727

=====

# PBE Rb4CaPu3O12, optimized geometry
data_Rb4CaPu3O12
_chemical_formula_sum 'Rb8 Ca2 Pu6 O24'
_cell_length_a 8.677
_cell_length_b 8.677
_cell_length_c 8.677
_cell_angle_alpha 90.00
_cell_angle_beta 90.00
_cell_angle_gamma 90.00
_space_group_name_H-M_alt 'I m -3 m'
_space_group_IT_number 229
_space_group_name_Hall '-I 4 2 3'
loop_
_atom_site_label
_atom_site_fract_x
_atom_site_fract_y
_atom_site_fract_z
Rb1 0.250 0.250 0.250
Ca1 0.000 0.000 0.000
Pu1 0.000 0.000 0.500
O1 0.000 0.000 0.276
O2 0.000 0.250 0.500
# Formation energy (no corrections), eV/atom: -2.475
# Crystal system: cubic
# Electronic total energy, eV/cell: -315.747

=====

# PBE Dy3Zn2Pt4, optimized geometry
data_Dy3Zn2Pt4
_chemical_formula_sum 'Dy6 Zn4 Pt8'
_cell_length_a 11.142
_cell_length_b 4.204
_cell_length_c 8.696
_cell_angle_alpha 90.00
_cell_angle_beta 116.77
_cell_angle_gamma 90.00
_space_group_name_H-M_alt 'C 1 2/m 1'
_space_group_IT_number 12
loop_
_space_group_symop_operation_xyz
'x,y,z'
'-x,-y,-z'
'-x,y,-z'
'x,-y,z'
'x+1/2,y+1/2,z'
'-x+1/2,-y+1/2,-z'
'-x+1/2,y+1/2,-z'
'x+1/2,-y+1/2,z'
loop_
_atom_site_label
_atom_site_fract_x
_atom_site_fract_y
_atom_site_fract_z
Dy1 0.000 0.000 0.000
Dy2 0.141 0.500 0.694
Zn1 0.164 0.500 0.331
Pt1 0.076 0.000 0.410
Pt2 0.207 0.500 0.067
# Calculated formation energy, meV per atom: -1006
# Crystal system: monoclinic
# Electronic total energy, eV/cell: -99.147

=====

# PBE SmTh2BC2, optimized geometry
data_SmTh2BC2
_chemical_formula_sum 'Sm2 Th4 B2 C4'
_cell_length_a 5.587
_cell_length_b 10.877
_cell_length_c 3.736
_cell_angle_alpha 90.00
_cell_angle_beta 90.00
_cell_angle_gamma 90.00
_space_group_name_H-M_alt 'P n n m'
_space_group_IT_number 58
loop_
_space_group_symop_operation_xyz
'x,y,z'
'-x,-y,-z'
'-x,-y,z'
'x,y,-z'
'x+1/2,-y+1/2,-z+1/2'
'-x+1/2,y+1/2,z+1/2'
'-x+1/2,y+1/2,-z+1/2'
'x+1/2,-y+1/2,z+1/2'
loop_
_atom_site_label
_atom_site_fract_x
_atom_site_fract_y
_atom_site_fract_z
Sm1 0.000 0.000 0.000
Th1 0.050 0.293 0.500
B1 0.000 0.500 0.000
C1 0.192 0.597 0.000
# Calculated formation energy, meV per atom: -202
# Crystal system: orthorhombic
# Electronic total energy, eV/cell: -91.788

=====

# PBE ErScOsRu, optimized geometry
data_ErScOsRu
_chemical_formula_sum 'Er4 Sc4 Os4 Ru4'
_cell_length_a 6.586
_cell_length_b 6.586
_cell_length_c 6.586
_cell_angle_alpha 90.00
_cell_angle_beta 90.00
_cell_angle_gamma 90.00
_space_group_name_H-M_alt 'F -4 3 m'
_space_group_IT_number 216
_space_group_name_Hall 'F -4 2 3'
loop_
_atom_site_label
_atom_site_fract_x
_atom_site_fract_y
_atom_site_fract_z
Er1 0.000 0.000 0.000
Sc1 0.000 0.000 0.500
Os1 0.250 0.250 0.750
Ru1 0.250 0.250 0.250
# Calculated formation energy, meV per atom: -323
# Crystal system: cubic
# Electronic total energy, eV/cell: -130.775

=====

# PBE KPrSm4S8, optimized geometry
data_KPrSm4S8
_chemical_formula_sum 'K3 Pr3 Sm12 S24'
_cell_length_a 8.3882
_cell_length_b 8.3882
_cell_length_c 20.7784
_cell_angle_alpha 90.00
_cell_angle_beta 90.00
_cell_angle_gamma 120.00
_space_group_name_H-M_alt 'R 3 m'
_space_group_IT_number 160
_space_group_name_Hall 'R 3 -2"'
loop_
_atom_site_label
_atom_site_fract_x
_atom_site_fract_y
_atom_site_fract_z
K1 0.0000 0.0000 0.0000
Pr1 0.0000 0.0000 0.3692
Sm1 0.0000 0.0000 0.7478
Sm2 0.0110 0.5055 0.8746
S1 0.0000 0.0000 0.1399
S2 0.0000 0.0000 0.6159
S3 0.0172 0.5086 0.1268
S4 0.1867 0.3734 0.9494
# Formation energy (no corrections), eV/atom: -1.912
# Crystal system: trigonal
# Electronic total energy, eV/cell: -253.618